LiUAu2 | PBE | optimized geometry

Lattice parameters (Å, degrees): 3.143 3.143 7.491 90.00 90.00 90.00
Sites, in units of the cell vectors:
Li: 0.000 0.000 0.000
U: 0.000 0.000 0.500
Au: 0.500 0.500 0.205
Au: 0.500 0.500 0.795

uncorrected energy: -5.228 eV per atom
energy of formation from the pure elements: -0.2889 eV per atom



LiUAu6 | PBE | optimized geometry

Lattice parameters (Å, degrees): 8.443 4.672 8.508 90.00 114.34 90.00
Sites, in units of the cell vectors:
Li: 0.000 0.000 0.000
Li: 0.500 0.500 0.000
U: 0.000 0.500 0.500
U: 0.500 0.000 0.500
Au: 0.105 0.000 0.343
Au: 0.143 0.500 0.892
Au: 0.241 0.500 0.257
Au: 0.259 0.000 0.743
Au: 0.357 0.000 0.108
Au: 0.395 0.500 0.657
Au: 0.605 0.500 0.343
Au: 0.643 0.000 0.892
Au: 0.741 0.000 0.257
Au: 0.759 0.500 0.743
Au: 0.857 0.500 0.108
Au: 0.895 0.000 0.657

uncorrected energy: -4.359 eV per atom
energy of formation from the pure elements: -0.2511 eV per atom



LiUAu2 | PBE | optimized geometry

Lattice parameters (Å, degrees): 5.288 5.288 2.940 90.00 90.00 90.00
Sites, in units of the cell vectors:
Li: 0.000 0.000 0.000
U: 0.500 0.500 0.000
Au: 0.000 0.500 0.500
Au: 0.500 0.000 0.500

uncorrected energy: -5.165 eV per atom
energy of formation from the pure elements: -0.2263 eV per atom